(1)
{"formula": "Cs2LiPaS4", "functional": "PBE", "state": "optimized geometry", "lattice": [[-1.4011, -3.0815, 2.5062], [-1.8974, -3.6782, -5.5832], [7.8357, -2.1600, 1.7248]], "species": ["Cs", "Cs", "Li", "Pa", "S", "S", "S", "S"], "frac_coords": [[0.5000, 0.0000, 0.5000], [0.0000, 0.5000, 0.5000], [0.5000, 0.5000, 0.0000], [0.0000, 0.0000, 0.0000], [0.5000, 0.2142, 0.1763], [0.5000, 0.7858, 0.8237], [0.0000, 0.2453, 0.8211], [0.0000, 0.7547, 0.1789]], "dft_energy_ev_per_atom": -5.12}



(2)
{"formula": "Pd3SeBr", "functional": "PBE", "state": "optimized geometry", "lattice": [[-1.5971, -4.0437, -2.0047], [4.2455, -2.0677, 0.7885], [-1.5318, -1.5147, 4.2756]], "species": ["Se", "Br", "Pd", "Pd", "Pd"], "frac_coords": [[0.0000, 0.0000, 0.0000], [0.5000, 0.5000, 0.5000], [0.0000, 0.5000, 0.0000], [0.0000, 0.0000, 0.5000], [0.5000, 0.0000, 0.0000]], "dos_ef_per_ev_cell": 4.25, "dft_energy_ev_per_atom": -3.94}